Record 1
A crystal of Pu relaxed with PBEsol. Source: Alexandria, functional meta-GGA SCAN.

Values from the calculation:
The value obtained for the energy of formation from the pure elements is 0.000 eV per atom.

Lattice parameters (Å, degrees): 3.2430 3.2430 3.9402 103.32 103.32 116.11
Fractional coordinates of all 2 atoms:
Pu (0.2500, 0.7500, 0.5000)
Pu (0.0000, 0.0000, 0.0000)

---

Record 2
A crystal of HfCrRePt2 relaxed with PBEsol. Source: Alexandria, functional meta-GGA SCAN.

Values from the calculation:
The value obtained for the energy of formation from the pure elements is 0.917 eV per atom.

Lattice parameters (Å, degrees): 4.8192 4.8192 4.7960 90.00 90.00 90.00
Fractional coordinates of all 5 atoms:
Hf (0.0000, 0.0000, 0.5000)
Re (0.0000, 0.0000, 0.0000)
Pt (0.5000, 0.0000, 0.0000)
Cr (0.5000, 0.5000, 0.5000)
Pt (0.0000, 0.5000, 0.0000)

---

Record 3
A crystal of CaTa2Al relaxed with PBEsol. Source: Alexandria, functional meta-GGA SCAN.

Values from the calculation:
The value obtained for the energy of formation from the pure elements is 0.514 eV per atom.

Lattice parameters (Å, degrees): 2.8340 5.5161 5.5162 116.79 90.00 90.00
Fractional coordinates of all 4 atoms:
Ta (0.0000, 0.5000, 0.0000)
Ca (0.5000, 0.5000, 0.5000)
Al (0.5000, 0.0000, 0.0000)
Ta (0.0000, 0.0000, 0.5000)

---

Record 4
A crystal of HgSb2TeAu relaxed with PBEsol. Source: Alexandria, functional meta-GGA SCAN.

Values from the calculation:
The calculation puts the formation energy without anion corrections at 0.55 eV/atom.

Lattice parameters (Å, degrees): 5.3378 5.3378 5.4264 90.00 90.00 90.00
Fractional coordinates of all 5 atoms:
Te (0.0000, 0.0000, 0.5000)
Au (0.0000, 0.0000, 0.0000)
Hg (0.5000, 0.5000, 0.5000)
Sb (0.5000, 0.0000, 0.0000)
Sb (0.0000, 0.5000, 0.0000)

---

Record 5
A crystal of LiZn2Pt relaxed with PBEsol. Source: Alexandria, functional meta-GGA SCAN.

Values from the calculation:
The value obtained for the energy of formation from the pure elements is -0.636 eV per atom.

Lattice parameters (Å, degrees): 4.2529 4.2529 4.2529 60.00 60.00 60.00
Fractional coordinates of all 4 atoms:
Zn (0.2500, 0.2500, 0.2500)
Li (0.5000, 0.5000, 0.5000)
Pt (0.0000, 0.0000, 0.0000)
Zn (0.7500, 0.7500, 0.7500)

---

Record 6
A crystal of LiLa2Rh2 relaxed with PBEsol. Source: Alexandria, functional meta-GGA SCAN.

Values from the calculation:
The value obtained for the energy of formation from the pure elements is -0.582 eV per atom.

Lattice parameters (Å, degrees): 3.7413 7.6907 7.6907 90.00 90.00 90.00
Fractional coordinates of all 10 atoms:
Rh (0.0000, 0.8635, 0.6365)
La (0.5000, 0.8356, 0.3356)
Li (0.0000, 0.0000, 0.0000)
La (0.5000, 0.6644, 0.8356)
La (0.5000, 0.1644, 0.6644)
Rh (0.0000, 0.3635, 0.8635)
Rh (0.0000, 0.6365, 0.1365)
La (0.5000, 0.3356, 0.1644)
Rh (0.0000, 0.1365, 0.3635)
Li (0.0000, 0.5000, 0.5000)

---

Record 7
A crystal of LiZrBeIr2 relaxed with PBEsol. Source: Alexandria, functional meta-GGA SCAN.

Values from the calculation:
The value obtained for the energy of formation from the pure elements is 0.541 eV per atom.

Lattice parameters (Å, degrees): 4.1455 4.1455 4.1627 90.00 90.00 90.00
Fractional coordinates of all 5 atoms:
Be (0.5000, 0.5000, 0.5000)
Li (0.0000, 0.0000, 0.0000)
Ir (0.5000, 0.0000, 0.0000)
Zr (0.0000, 0.0000, 0.5000)
Ir (0.0000, 0.5000, 0.0000)

---

Record 8
A crystal of HoZnIn relaxed with PBEsol. Source: Alexandria, functional meta-GGA SCAN.

Values from the calculation:
The value obtained for the energy of formation from the pure elements is -0.552 eV per atom.

Lattice parameters (Å, degrees): 4.5836 4.5836 7.0468 90.00 90.00 120.00
Fractional coordinates of all 6 atoms:
In (0.3333, 0.6667, 0.2500)
In (0.6667, 0.3333, 0.7500)
Zn (0.6667, 0.3333, 0.2500)
Zn (0.3333, 0.6667, 0.7500)
Ho (0.0000, 0.0000, 0.5000)
Ho (0.0000, 0.0000, 0.0000)

---

Record 9
A crystal of YAlCo2 relaxed with PBEsol. Source: Alexandria, functional meta-GGA SCAN.

Values from the calculation:
The value obtained for the energy of formation from the pure elements is 0.028 eV per atom.

Lattice parameters (Å, degrees): 4.4349 4.4349 4.4349 60.00 60.00 60.00
Fractional coordinates of all 4 atoms:
Co (0.0000, 0.0000, 0.0000)
Al (0.5000, 0.5000, 0.5000)
Y (0.2500, 0.2500, 0.2500)
Co (0.7500, 0.7500, 0.7500)

---

Record 10
A crystal of KSrH3 relaxed with PBEsol. Source: Alexandria, functional meta-GGA SCAN.

Values from the calculation:
The value obtained for the electronic total energy is -8.60 eV per atom.

Lattice parameters (Å, degrees): 4.6889 4.6889 4.6889 90.00 90.00 90.00
Fractional coordinates of all 5 atoms:
H (0.0000, 0.5000, 0.0000)
H (0.0000, 0.0000, 0.5000)
H (0.5000, 0.0000, 0.0000)
K (0.5000, 0.5000, 0.5000)
Sr (0.0000, 0.0000, 0.0000)

---

Record 11
A crystal of CaMg2Pb relaxed with PBEsol. Source: Alexandria, functional meta-GGA SCAN.

Values from the calculation:
The relative energy among the computed polymorphs comes out at 1 meV per atom. The value obtained for the energy of formation from the pure elements is -0.289 eV per atom.

Lattice parameters (Å, degrees): 4.6506 4.6452 5.8604 113.35 113.38 90.00
Fractional coordinates of all 4 atoms:
Pb (0.0000, 0.5000, 0.0000)
Mg (0.2498, 0.2498, 0.4997)
Mg (0.7502, 0.7502, 0.5003)
Ca (0.5000, 0.0000, 0.0000)

---

Record 12
A crystal of RbCdF2 relaxed with PBEsol. Source: Alexandria, functional meta-GGA SCAN.

Values from the calculation:
The relative energy among the computed polymorphs comes out at 0 meV per atom. The calculation puts the formation energy without anion corrections at -1.82 eV/atom.

Lattice parameters (Å, degrees): 4.6390 4.6390 4.6390 60.00 60.00 60.00
Fractional coordinates of all 4 atoms:
F (0.7500, 0.7500, 0.7500)
F (0.2500, 0.2500, 0.2500)
Rb (0.0000, 0.0000, 0.0000)
Cd (0.5000, 0.5000, 0.5000)

---

Record 13
A crystal of SrCaSnP2O8 relaxed with PBEsol. Source: Alexandria, functional meta-GGA SCAN.

Values from the calculation:
The calculation puts the formation energy without anion corrections at -2.75 eV/atom.

Lattice parameters (Å, degrees): 5.6156 6.8580 10.1102 108.55 98.08 98.62
Fractional coordinates of all 26 atoms:
Ca (0.0494, 0.4213, 0.6631)
Sn (0.6645, 0.8300, 0.5868)
O (0.5370, 0.9256, 0.3114)
Ca (0.9506, 0.5787, 0.3369)
O (0.4630, 0.0744, 0.6886)
O (0.4111, 0.5450, 0.8389)
O (0.1276, 0.4602, 0.1230)
O (0.6475, 0.4808, 0.6332)
O (0.8674, 0.2558, 0.3805)
P (0.6560, 0.5981, 0.7943)
O (0.7275, 0.0009, 0.1182)
O (0.8724, 0.5398, 0.8770)
O (0.1326, 0.7442, 0.6195)
O (0.9836, 0.8998, 0.3048)
Sn (0.3355, 0.1700, 0.4132)
O (0.5889, 0.4550, 0.1611)
O (0.2819, 0.1650, 0.1908)
O (0.7181, 0.8350, 0.8092)
P (0.2205, 0.9771, 0.7251)
Sr (0.2615, 0.7894, 0.0450)
O (0.3525, 0.5192, 0.3668)
Sr (0.7385, 0.2106, 0.9550)
O (0.0164, 0.1002, 0.6952)
P (0.7795, 0.0229, 0.2749)
P (0.3440, 0.4019, 0.2057)
O (0.2725, 0.9991, 0.8818)

---

Record 14
A crystal of GaBr3 relaxed with PBEsol. Source: Alexandria, functional meta-GGA SCAN.

Values from the calculation:
The calculation puts the formation energy without anion corrections at -0.85 eV/atom.

Lattice parameters (Å, degrees): 5.6898 8.9201 10.9343 107.71 90.00 90.00
Fractional coordinates of all 16 atoms:
Br (0.7223, 0.0022, 0.3847)
Br (0.2372, 0.6688, 0.7881)
Br (0.7777, 0.0022, 0.8847)
Ga (0.4957, 0.1990, 0.5496)
Br (0.2490, 0.3256, 0.4509)
Br (0.2628, 0.6688, 0.2881)
Br (0.2510, 0.3256, 0.9509)
Ga (0.9957, 0.8010, 0.9504)
Ga (0.5043, 0.8010, 0.4504)
Br (0.7490, 0.6744, 0.0491)
Br (0.7510, 0.6744, 0.5491)
Ga (0.0043, 0.1990, 0.0496)
Br (0.2777, 0.9978, 0.6153)
Br (0.7628, 0.3312, 0.2119)
Br (0.2223, 0.9978, 0.1153)
Br (0.7372, 0.3312, 0.7119)

---

Record 15
A crystal of Al2ZnIr relaxed with PBEsol. Source: Alexandria, functional meta-GGA SCAN.

Values from the calculation:
The value obtained for the energy of formation from the pure elements is -0.112 eV per atom.

Lattice parameters (Å, degrees): 2.7861 2.7861 8.7308 90.00 90.00 117.79
Fractional coordinates of all 4 atoms:
Al (0.5000, 0.5000, 0.7337)
Al (0.0000, 0.0000, 0.0010)
Zn (0.5000, 0.5000, 0.2597)
Ir (0.0000, 0.0000, 0.5056)

---

Record 16
A crystal of Mg4ZrCu relaxed with PBEsol. Source: Alexandria, functional meta-GGA SCAN.

Values from the calculation:
The value obtained for the energy of formation from the pure elements is 0.382 eV per atom.

Lattice parameters (Å, degrees): 5.5759 5.5759 5.5759 60.00 60.00 60.00
Fractional coordinates of all 6 atoms:
Zr (0.7500, 0.7500, 0.7500)
Mg (0.8739, 0.3754, 0.3754)
Cu (0.0000, 0.0000, 0.0000)
Mg (0.3754, 0.3754, 0.8739)
Mg (0.3754, 0.3754, 0.3754)
Mg (0.3754, 0.8739, 0.3754)

---

Record 17
A crystal of H8PtN2Cl2O2 relaxed with PBEsol. Source: Alexandria, functional meta-GGA SCAN.

Values from the calculation:
The value obtained for the electronic total energy is -10.35 eV per atom.

Lattice parameters (Å, degrees): 5.9694 6.8647 7.9496 90.00 104.44 90.00
Fractional coordinates of all 30 atoms:
O (0.0657, 0.9720, 0.7649)
Cl (0.3466, 0.8496, 0.1270)
H (0.1363, 0.1560, 0.6293)
H (0.2009, 0.8848, 0.7798)
Pt (0.0000, 0.0000, 0.0000)
H (0.8637, 0.8440, 0.3707)
H (0.6584, 0.7599, 0.9569)
N (0.1665, 0.2376, 0.5249)
H (0.3416, 0.2401, 0.0431)
N (0.8335, 0.7624, 0.4751)
H (0.7991, 0.1152, 0.2202)
H (0.2009, 0.6152, 0.2798)
N (0.1665, 0.2624, 0.0249)
H (0.8637, 0.6560, 0.8707)
N (0.8335, 0.7376, 0.9751)
O (0.0657, 0.5280, 0.2649)
H (0.1038, 0.1564, 0.4098)
O (0.9343, 0.4720, 0.7351)
Cl (0.6534, 0.3496, 0.3730)
H (0.8962, 0.6564, 0.0902)
Cl (0.6534, 0.1504, 0.8730)
H (0.1363, 0.3440, 0.1293)
H (0.3416, 0.2599, 0.5431)
H (0.6584, 0.7401, 0.4569)
H (0.7991, 0.3848, 0.7202)
O (0.9343, 0.0280, 0.2351)
Pt (0.0000, 0.5000, 0.5000)
Cl (0.3466, 0.6504, 0.6270)
H (0.8962, 0.8436, 0.5902)
H (0.1038, 0.3436, 0.9098)

---

Record 18
A crystal of CaTl2Pb relaxed with PBEsol. Source: Alexandria, functional meta-GGA SCAN.

Values from the calculation:
The value obtained for the energy of formation from the pure elements is -0.294 eV per atom.

Lattice parameters (Å, degrees): 5.4442 5.4442 5.4442 60.00 60.00 60.00
Fractional coordinates of all 4 atoms:
Tl (0.0000, 0.0000, 0.0000)
Pb (0.2500, 0.2500, 0.2500)
Ca (0.5000, 0.5000, 0.5000)
Tl (0.7500, 0.7500, 0.7500)

---

Record 19
A crystal of MgOsRu relaxed with PBEsol. Source: Alexandria, functional meta-GGA SCAN.

Values from the calculation:
The relative energy among the computed polymorphs comes out at 0 meV per atom. The value obtained for the energy of formation from the pure elements is 0.034 eV per atom.

Lattice parameters (Å, degrees): 2.7948 2.7948 6.0499 103.35 103.35 90.00
Fractional coordinates of all 3 atoms:
Mg (0.9995, 0.9995, 0.9990)
Os (0.6795, 0.6795, 0.3591)
Ru (0.3210, 0.3210, 0.6419)

---

Record 20
A crystal of CoBiN2F relaxed with PBEsol. Source: Alexandria, functional meta-GGA SCAN.

Values from the calculation:
The calculation puts the formation energy without anion corrections at 1.16 eV/atom.

Lattice parameters (Å, degrees): 4.2484 4.2623 4.2623 90.00 90.00 90.00
Fractional coordinates of all 5 atoms:
F (0.5000, 0.0000, 0.0000)
N (0.0000, 0.5000, 0.0000)
Co (0.5000, 0.5000, 0.5000)
Bi (0.0000, 0.0000, 0.0000)
N (0.0000, 0.0000, 0.5000)

---

Record 21
A crystal of TaZnIr2 relaxed with PBEsol. Source: Alexandria, functional meta-GGA SCAN.

Values from the calculation:
The value obtained for the energy of formation from the pure elements is -0.550 eV per atom.

Lattice parameters (Å, degrees): 2.9272 2.9272 6.8395 90.00 90.00 90.00
Fractional coordinates of all 4 atoms:
Ta (0.5000, 0.5000, 0.0000)
Ir (0.0000, 0.0000, 0.7402)
Ir (0.0000, 0.0000, 0.2598)
Zn (0.5000, 0.5000, 0.5000)

---

Record 22
A crystal of BaTa2 relaxed with PBEsol. Source: Alexandria, functional meta-GGA SCAN.

Values from the calculation:
The value obtained for the energy of formation from the pure elements is 1.376 eV per atom.

Lattice parameters (Å, degrees): 3.0910 5.1425 5.1425 120.00 90.00 90.00
Fractional coordinates of all 3 atoms:
Ba (0.0000, 0.0000, 0.0000)
Ta (0.5000, 0.3333, 0.6667)
Ta (0.5000, 0.6667, 0.3333)

---

Record 23
A crystal of Mg2SiAu relaxed with PBEsol. Source: Alexandria, functional meta-GGA SCAN.

Values from the calculation:
The calculation puts the formation energy without anion corrections at -0.22 eV/atom.

Lattice parameters (Å, degrees): 4.0250 4.0250 5.1516 113.00 113.00 90.00
Fractional coordinates of all 4 atoms:
Au (0.2500, 0.7500, 0.5000)
Mg (0.7500, 0.2500, 0.5000)
Mg (0.0000, 0.0000, 0.0000)
Si (0.5000, 0.5000, 0.0000)

---

Record 24
A crystal of SiTcAg2 relaxed with PBEsol. Source: Alexandria, functional meta-GGA SCAN.

Values from the calculation:
The calculation puts the formation energy without anion corrections at 0.39 eV/atom.

Lattice parameters (Å, degrees): 3.0241 4.5598 5.1808 116.11 106.97 90.00
Fractional coordinates of all 4 atoms:
Tc (0.7855, 0.2855, 0.5709)
Ag (0.0012, 0.0012, 0.0024)
Si (0.4896, 0.4896, 0.9792)
Ag (0.2237, 0.7237, 0.4474)

---

Record 25
A crystal of LiMn2O4 relaxed with PBEsol. Source: Alexandria, functional meta-GGA SCAN.

Values from the calculation:
The relative energy among the computed polymorphs comes out at 86 meV per atom. The calculation puts the formation energy without anion corrections at -2.17 eV/atom.

Lattice parameters (Å, degrees): 2.8122 4.8223 5.1361 108.47 90.02 90.02
Fractional coordinates of all 7 atoms:
Mn (0.0000, 0.0000, 0.0000)
Li (0.5000, 0.0000, 0.5000)
O (0.5002, 0.2323, 0.2081)
O (0.4998, 0.7677, 0.7919)
Mn (0.5000, 0.5000, 0.0000)
O (0.0002, 0.7427, 0.2158)
O (0.9998, 0.2573, 0.7842)

---

Record 26
A crystal of Mg2ReSb relaxed with PBEsol. Source: Alexandria, functional meta-GGA SCAN.

Values from the calculation:
The calculation puts the formation energy without anion corrections at 0.32 eV/atom.

Lattice parameters (Å, degrees): 2.8656 5.2582 5.2582 113.05 90.00 90.00
Fractional coordinates of all 4 atoms:
Sb (0.5000, 0.5000, 0.5000)
Re (0.5000, 0.0000, 0.0000)
Mg (0.0000, 0.5000, 0.0000)
Mg (0.0000, 0.0000, 0.5000)

---

For the records above, the corresponding M_tot values read 0.00, 4.66, 0.17, 0.00, 0.00, 0.00, 0.00, 0.00, 3.75, 0.00, 0.00, 0.82, 0.00, 0.00, 0.00, 1.99, 0.00, 0.00, 0.00, 3.37, 0.00, 0.00, 0.00, 0.00, 5.00, 0.00 μB per formula unit.